Here is crystalline Na2ScPt2 at its relaxed geometry from Alexandria via LeMat-Bulk. Energies are from PBE.

Unit cell a=7.7530 b=7.7530 c=7.7530 alpha=152.76 beta=152.76 gamma=38.90
Closest atoms and distances in Å follow each position.
Positions (direct):
Na: 0.2500 0.7500 0.5000  4 Na 2.58
Na: 0.7500 0.2500 0.5000  4 Na 2.58
Sc: 0.0000 0.0000 0.0000  8 Pt 2.91
Pt: 0.4080 0.4080 0.0000  1 Pt 2.69, 4 Sc 2.91, 4 Na 2.94
Pt: 0.5920 0.5920 0.0000  1 Pt 2.69, 4 Sc 2.91, 4 Na 2.94

Computed properties:
Symmetry   I4/mmm (139)
ΔE_f   -1.76 eV per formula unit
Density   8.2 g/cm3
Offset from the most stable computed form   29.6 meV per atom